Entry 1:
A PBEsol-optimized structure of KTlOs2, computed with meta-GGA SCAN.

Lattice parameters (Å, degrees): 3.9285 3.9285 4.8670 90.00 90.00 90.00
Fractional positions:
Os1 0.0000 0.5000 0.0000
Os2 0.5000 0.0000 0.0000
Tl1 0.5000 0.5000 0.5000
K1 0.0000 0.0000 0.5000

Properties
The calculation puts the energy above the most stable polymorph in this dataset at 229.4 meV/atom. Its final energy is -54.395 eV/atom. The formation energy from the elements comes out at 1717 meV/atom. The value obtained for the volume is 75.1 Å³ per cell.



Entry 2:
A PBEsol-optimized structure of K4TlOs, computed with meta-GGA SCAN.

Lattice parameters (Å, degrees): 6.4554 6.4554 6.4554 60.00 60.00 60.00
Last column: magnetic moment on the atom in μB.
Fractional positions:
Tl1 0.0000 0.0000 0.0000  -0.14
K1 0.3760 0.3760 0.3760  -0.01
K2 0.8720 0.3760 0.3760  -0.01
K3 0.3760 0.3760 0.8720  -0.01
K4 0.3760 0.8720 0.3760  -0.01
Os1 0.7500 0.7500 0.7500  1.90

Properties
Its final energy is -28.436 eV/atom. The formation energy from the elements comes out at 1156 meV/atom. The value obtained for the volume is 190.2 Å³ per cell.



Entry 3:
A PBEsol-optimized structure of KTlOs2, computed with meta-GGA SCAN.

Lattice parameters (Å, degrees): 4.7065 4.7065 4.7065 60.00 60.00 60.00
Last column: magnetic moment on the atom in μB.
Fractional positions:
Tl1 0.5000 0.5000 0.5000  -0.05
Os1 0.7500 0.7500 0.7500  1.17
Os2 0.2500 0.2500 0.2500  1.17
K1 0.0000 0.0000 0.0000  0.05

Properties
The calculation puts the energy above the most stable polymorph in this dataset at 580.0 meV/atom. Its final energy is -54.044 eV/atom. The formation energy from the elements comes out at 2068 meV/atom. The value obtained for the volume is 73.7 Å³ per cell.



Entry 4:
A PBEsol-optimized structure of KTlOs2, computed with meta-GGA SCAN.

Lattice parameters (Å, degrees): 2.7961 4.9624 5.3772 90.00 90.00 90.00
Last column: magnetic moment on the atom in μB.
Fractional positions:
K1 0.0000 0.5000 0.5000  0.00
Os1 0.0000 0.0000 0.0000  0.88
Os2 0.5000 0.5000 0.0000  0.50
Tl1 0.5000 0.0000 0.5000  0.02

Properties
The calculation puts the energy above the most stable polymorph in this dataset at 0.0 meV/atom. Its final energy is -54.624 eV/atom. The formation energy from the elements comes out at 1488 meV/atom. The value obtained for the volume is 74.6 Å³ per cell.



Entry 5:
A PBEsol-optimized structure of KOsW2, computed with meta-GGA SCAN.

Lattice parameters (Å, degrees): 2.6249 5.4375 5.5567 116.88 99.16 99.06
Fractional positions:
K1 0.5000 0.0000 0.0000
Os1 0.0000 0.5000 0.0000
W1 0.0000 0.0000 0.5000
W2 0.5000 0.5000 0.5000

Properties
Its final energy is -53.306 eV/atom. The formation energy from the elements comes out at 1590 meV/atom. The value obtained for the volume is 67.4 Å³ per cell.



Entry 6:
A PBEsol-optimized structure of K4YOs, computed with meta-GGA SCAN.

Lattice parameters (Å, degrees): 6.4528 6.4528 6.4528 60.00 60.00 60.00
Fractional positions:
K1 0.3783 0.3783 0.8650
K2 0.3783 0.3783 0.3783
K3 0.8650 0.3783 0.3783
K4 0.3783 0.8650 0.3783
Y1 0.0000 0.0000 0.0000
Os1 0.7500 0.7500 0.7500

Properties
Its final energy is -20.734 eV/atom. The formation energy from the elements comes out at 1439 meV/atom. The value obtained for the volume is 190.0 Å³ per cell.



Among the records above, which one has the highest formation energy from the elements?
number 3